1.
Ce3NdTh3Se8: relaxed, PBE.

a b c (Å): 8.367 8.367 8.368
angles (deg): 120.00 90.00 120.00
Each line ends with the local moment (μB).
Fractional positions:
1 Se 0.744 0.488 0.243  -0.01
2 Se 0.751 0.502 0.753  -0.01
3 Se 0.256 0.512 0.757  -0.01
4 Se 0.744 0.000 0.757  -0.01
5 Se 0.249 0.498 0.247  -0.01
6 Se 0.256 0.000 0.243  -0.01
7 Se 0.256 0.000 0.757  -0.01
8 Se 0.744 0.000 0.243  -0.01
9 Th 0.500 0.500 0.500  -0.02
10 Th 0.500 0.000 0.500  -0.02
11 Th 0.000 0.500 0.500  -0.02
12 Ce 0.000 0.500 0.000  0.66
13 Ce 0.000 0.000 0.000  0.66
14 Ce 0.500 0.500 0.000  0.66
15 Nd 0.000 0.000 0.500  0.02

Output
energy relative to the elements, uncorrected: -1745.2 meV/atom
space-group type: R-3m
magnetic moment: 2.15 Bohr magnetons per cell

2.
Pd7Pt2Rh2: relaxed, PBE.

a b c (Å): 5.159 6.631 5.159
angles (deg): 97.26 93.51 97.26
Fractional positions:
1 Pd 0.457 0.303 0.083
2 Pd 0.846 0.090 0.846
3 Pd 0.543 0.697 0.917
4 Pd 0.917 0.697 0.543
5 Pd 0.083 0.303 0.457
6 Pd 0.000 0.500 0.000
7 Pd 0.154 0.910 0.154
8 Pt 0.318 0.000 0.682
9 Pt 0.682 0.000 0.318
10 Rh 0.401 0.644 0.401
11 Rh 0.599 0.356 0.599

Output
space-group type: C2/m
calculated total energy: -0.41214 Ry/atom
magnetic moment: 0.00 Bohr magnetons per cell

3.
LuZrRePd: relaxed, PBE.

a b c (Å): 4.742 4.742 4.742
angles (deg): 60.00 60.00 60.00
Fractional positions:
1 Re 0.000 0.000 0.000
2 Lu 0.250 0.250 0.250
3 Pd 0.500 0.500 0.500
4 Zr 0.750 0.750 0.750

Output
space-group type: F-43m
calculated total energy: -0.59537 Ry/atom
magnetic moment: 0.00 Bohr magnetons per cell